# PBE-GGA La3Nd7Y, relaxed
data_La3Nd7Y
_cell_length_a 6.578
_cell_length_b 7.889
_cell_length_c 7.889
_cell_angle_alpha 81.88
_cell_angle_beta 86.68
_cell_angle_gamma 86.68
_symmetry_space_group_name_H-M 'P 1'
_symmetry_Int_Tables_number 1
loop_
_symmetry_equiv_pos_as_xyz
'x,y,z'
loop_
_atom_site_label
_atom_site_type_symbol
_atom_site_fract_x
_atom_site_fract_y
_atom_site_fract_z
_atom_site_occupancy
La1 La 0.000 0.825 0.175 1
La2 La 0.500 0.000 0.000 1
La3 La 0.000 0.175 0.825 1
Nd1 Nd 0.787 0.238 0.238 1
Nd2 Nd 0.738 0.914 0.569 1
Nd3 Nd 0.262 0.431 0.086 1
Nd4 Nd 0.738 0.569 0.914 1
Nd5 Nd 0.000 0.500 0.500 1
Nd6 Nd 0.262 0.086 0.431 1
Nd7 Nd 0.213 0.762 0.762 1
Y1 Y 0.500 0.500 0.500 1
# Space group: C2/m, No. 12
# Offset from the most stable computed form: 0.000 eV per atom
# Formation enthalpy at 0 K: 211.4 meV/atom